Record 1
Sr2HPb meta-GGA SCAN single point on PBEsol structure; VASP energy = -31.237 eV/atom; theoretical density = 5.5 g/cm3
1.0
5.477 0.000 0.000
2.738 4.743 0.000
2.738 1.581 4.472
Pb Sr H
1 2 1
Cartesian
5.477 3.162 2.236 Pb
2.738 1.581 1.118 Sr
8.215 4.743 3.354 Sr
0.000 0.000 0.000 H

=====

Record 2
TlInMo2 meta-GGA SCAN single point on PBEsol structure; E_form = 8.470 kcal/mol of atoms; energy above the lowest structure with this stoichiometry = 0.0000 eV/atom; theoretical density = 10.9 g/cm3
1.0
-0.619 -2.918 -1.029
3.020 -0.798 0.448
-1.679 -2.232 7.340
In Mo Tl
1 2 1
Cartesian
-0.137 -3.636 5.556 In
-0.058 -0.078 0.255 Mo
0.856 -2.316 1.216 Mo
-0.779 -1.035 3.403 Tl

=====

Record 3
La4CrPt meta-GGA SCAN single point on PBEsol structure; E_form = 11.094 kcal/mol of atoms; theoretical density = 8.2 g/cm3
1.0
6.120 0.000 0.000
3.060 5.300 0.000
3.060 1.767 4.997
Cr La Pt
1 4 1
Cartesian
0.000 0.000 0.000 Cr
7.641 2.655 1.877 La
4.598 2.655 1.877 La
6.120 3.533 4.362 La
6.120 5.290 1.877 La
9.180 5.300 3.748 Pt

=====

Record 4
KSr2Ag meta-GGA SCAN single point on PBEsol structure; E_form = -2.215 kcal/mol of atoms; energy above the lowest structure with this stoichiometry = 0.0038 eV/atom; theoretical density = 3.2 g/cm3
1.0
-0.963 -1.467 3.516
0.813 -3.622 -1.288
10.295 1.139 3.294
Sr K Ag
2 1 1
Cartesian
3.403 0.377 1.089 Sr
6.891 0.763 2.205 Sr
-0.075 -2.545 1.114 K
5.072 -1.975 2.761 Ag

=====

Record 5
TlHg2Au meta-GGA SCAN single point on PBEsol structure; E_form = 2.442 kcal/mol of atoms; energy above the lowest structure with this stoichiometry = 0.0943 eV/atom; theoretical density = 15.0 g/cm3
1.0
3.201 0.000 0.000
1.601 2.772 0.000
1.601 0.924 10.017
Tl Au Hg
1 1 2
Cartesian
3.201 1.848 5.008 Tl
0.000 0.000 0.000 Au
1.601 0.924 2.256 Hg
4.802 2.772 7.761 Hg

=====

Record 6
HgBr2 meta-GGA SCAN single point on PBEsol structure; VASP energy = -36.082 eV/atom; theoretical density = 5.9 g/cm3
1.0
3.946 0.000 0.000
0.000 6.032 0.000
-1.973 0.000 8.472
Hg Br
2 4
Cartesian
0.000 4.524 5.412 Hg
1.973 1.508 3.060 Hg
1.973 4.524 3.402 Br
1.973 4.524 7.191 Br
0.000 1.508 1.281 Br
0.000 1.508 5.070 Br

=====

Record 7
Y2IrBr meta-GGA SCAN single point on PBEsol structure; energy above the lowest structure with this stoichiometry = 0.0000 eV/atom; theoretical density = 7.4 g/cm3
1.0
3.977 0.000 0.000
1.989 3.444 0.000
1.989 1.148 7.408
Y Ir Br
2 1 1
Cartesian
1.988 1.148 1.448 Y
5.966 3.444 5.960 Y
0.000 0.000 0.000 Ir
3.977 2.296 3.704 Br

=====

Record 8
Ti3AgS6 meta-GGA SCAN single point on PBEsol structure; VASP energy = -15.040 eV/atom; theoretical density = 4.0 g/cm3
1.0
5.839 0.000 0.000
2.919 5.056 0.000
2.919 1.685 6.223
Ti Ag S
3 1 6
Cartesian
5.839 3.371 3.111 Ti
8.758 5.056 3.107 Ti
2.919 1.685 3.115 Ti
0.000 0.000 0.000 Ag
6.835 5.022 4.548 S
3.911 3.409 4.548 S
6.770 1.682 4.548 S
4.907 5.060 1.674 S
7.767 3.333 1.674 S
4.842 1.720 1.674 S

=====

> Which value of theoretical density does entry 5 give?

15.0 g/cm3